1.
Density functional theory data (PBE) for an optimized crystal structure of CoIrOs2.

spin magnetization = 0.295 μB/cell
SG = P2/m (10)
ΔE to the lowest computed polymorph = 36 meV per atom
ΔH_f (0 K) = 0.13 eV/atom
energy = -9.479 eV per atom

a = 2.691 Å, b = 4.620 Å, c = 5.345 Å
α = 54.81°, β = 90.00°, γ = 90.00°
Last column: magnetic moment on the atom in μB.
Positions (direct):
Os1 0.000 0.000 0.000  -0.03
Os2 0.500 0.500 0.000  -0.04
Co1 0.500 0.500 0.500  0.36
Ir1 0.000 0.000 0.500  0.01

=====

2.
Density functional theory data (PBE) for an optimized crystal structure of GaCu2C.

spin magnetization = 0.000 μB/cell
SG = Fm-3m (225)
ΔE to the lowest computed polymorph = 316 meV per atom
ΔH_f (0 K) = 1.10 eV/atom
energy = -4.007 eV per atom

a = 4.048 Å, b = 4.048 Å, c = 4.048 Å
α = 60.00°, β = 60.00°, γ = 60.00°
Positions (direct):
Cu1 0.750 0.750 0.750
C1 0.000 0.000 0.000
Cu2 0.250 0.250 0.250
Ga1 0.500 0.500 0.500

=====

3.
Density functional theory data (PBE) for an optimized crystal structure of CaAc6Sm5.

spin magnetization = 0.000 μB/cell
SG = Immm (71)
ΔH_f (0 K) = 0.04 eV/atom
energy = -4.147 eV per atom

a = 5.509 Å, b = 10.141 Å, c = 10.141 Å
α = 108.36°, β = 105.75°, γ = 105.75°
Positions (direct):
Sm1 0.500 0.829 0.171
Ac1 0.244 0.744 0.744
Ac2 0.748 0.579 0.916
Ac3 0.252 0.084 0.421
Sm2 0.000 0.668 0.332
Sm3 0.500 0.171 0.829
Ac4 0.748 0.916 0.579
Ac5 0.252 0.421 0.084
Ca1 0.000 0.000 0.000
Sm4 0.000 0.332 0.668
Ac6 0.756 0.256 0.256
Sm5 0.500 0.500 0.500